Record 1
Ho4GaIr2, optimized geometry, DFT PBE-GGA; formation energy = -729 meV/atom; SG = R-3m (166)
1.0
0.094 -4.380 2.091
2.695 -3.550 -1.923
7.067 -0.392 4.499
Ir Ho Ga
2 4 1
direct
0.749 0.749 0.753
0.251 0.251 0.247
0.871 0.871 0.386
0.380 0.380 0.860
0.620 0.620 0.140
0.129 0.129 0.614
0.000 0.000 0.000

---

Record 2
In2AsRh, optimized geometry, DFT PBE-GGA; formation energy = -189 meV/atom; SG = Pm (6)
1.0
4.078 0.000 0.000
0.000 4.010 -0.002
0.000 1.993 4.961
As Rh In
1 1 2
direct
0.500 0.553 0.774
0.000 0.698 0.474
0.500 0.270 0.334
0.000 0.979 0.918

---

Record 3
NaCd6Pb, optimized geometry, DFT PBE-GGA; distance to the lowest polymorph of the same formula = 62 meV per atom; formation energy = 37 meV/atom; SG = Pm-3 (200)
1.0
-1.489 -5.698 0.206
1.500 -0.186 5.696
-5.501 1.491 1.497
Cd Pb Na
6 1 1
direct
0.745 0.000 0.500
0.500 0.255 0.000
0.500 0.745 0.000
0.000 0.500 0.255
0.255 0.000 0.500
0.000 0.500 0.745
0.000 0.000 0.000
0.500 0.500 0.500

---

Record 4
LaNdHo5, optimized geometry, DFT PBE-GGA; distance to the lowest polymorph of the same formula = 0 meV per atom; formation energy = 197 meV/atom; SG = C2/c (15)
1.0
-2.731 3.601 5.077
-6.657 -0.586 1.244
-4.113 -6.632 11.456
La Ho Nd
2 10 2
direct
0.276 0.724 0.250
0.724 0.276 0.750
0.395 0.171 0.246
0.159 0.841 0.750
0.702 0.635 0.001
0.365 0.298 0.499
0.605 0.829 0.754
0.841 0.159 0.250
0.635 0.702 0.501
0.829 0.605 0.254
0.171 0.395 0.746
0.298 0.365 0.999
0.000 0.000 0.000
0.000 0.000 0.500

---

Record 5
BaNi, optimized geometry, DFT PBE-GGA; formation energy = 393 meV/atom; SG = P-6m2 (187)
1.0
4.324 0.000 0.000
-2.162 3.745 0.000
0.000 0.000 3.868
Ni Ba
1 1
direct
0.333 0.667 0.500
0.000 0.000 0.000

---

Record 6
Si2TeO, optimized geometry, DFT PBE-GGA; distance to the lowest polymorph of the same formula = 672 meV per atom; SG = Fm-3m (225); raw formation energy = 534 meV per atom
1.0
-3.556 2.347 1.594
-0.515 4.382 -1.109
-3.344 1.255 -2.817
Si Te O
2 1 1
direct
0.250 0.250 0.250
0.750 0.750 0.750
0.500 0.500 0.500
0.000 0.000 0.000

---

Record 7
NaAgS2, optimized geometry, DFT PBE-GGA; distance to the lowest polymorph of the same formula = 55 meV per atom; SG = Fm-3m (225); raw formation energy = -36 meV per atom
1.0
3.498 -3.136 -0.211
-0.270 -3.627 -2.980
2.796 -0.153 -3.777
S Na Ag
2 1 1
direct
0.250 0.250 0.250
0.750 0.750 0.750
0.000 0.000 0.000
0.500 0.500 0.500

---

Record 8
CrCo2Se, optimized geometry, DFT PBE-GGA; SG = I4/mmm (139); raw formation energy = 258 meV per atom
1.0
4.478 -0.107 0.000
1.552 4.202 0.000
-3.015 -2.048 2.604
Cr Se Co
1 1 2
direct
0.250 0.750 0.500
0.750 0.250 0.500
0.500 0.500 0.000
0.000 0.000 0.000

---

no.,total magnetization (μB per cell)
1,0.00
2,0.00
3,0.00
4,0.00
5,0.06
6,0.00
7,0.00
8,1.34